# ScBr2F | Alexandria | PBE | relaxed
data_ScBr2F
_chemical_formula_sum 'Sc4 Br8 F4'
_space_group_name_H-M_alt 'F m -3 m'
_space_group_IT_number 225
_space_group_name_Hall '-F 4 2 3'
_cell_length_a 6.667
_cell_length_b 6.667
_cell_length_c 6.667
_cell_angle_alpha 90.00
_cell_angle_beta 90.00
_cell_angle_gamma 90.00
loop_
_atom_site_label
_atom_site_type_symbol
_atom_site_fract_x
_atom_site_fract_y
_atom_site_fract_z
Sc1 Sc 0.000 0.000 0.000
Br1 Br 0.250 0.250 0.250
F1 F 0.000 0.000 0.500
# D(E_F) (states/eV per atom): 0.00
# Electronic total energy (eV per atom): -4.437
# Crystal system: cubic
# E_form (uncorrected) (kJ/mol of atoms): -149.6

=====

# HfN | Alexandria | PBE | relaxed
data_HfN
_chemical_formula_sum 'Hf2 N2'
_space_group_name_H-M_alt 'P 63/m m c'
_space_group_IT_number 194
_space_group_name_Hall '-P 6c 2c'
_cell_length_a 3.1521
_cell_length_b 3.1521
_cell_length_c 5.4452
_cell_angle_alpha 90.00
_cell_angle_beta 90.00
_cell_angle_gamma 120.00
loop_
_atom_site_label
_atom_site_type_symbol
_atom_site_fract_x
_atom_site_fract_y
_atom_site_fract_z
Hf1 Hf 0.3333 0.6667 0.2500
N1 N 0.0000 0.0000 0.0000
# D(E_F) (states/eV per atom): 0.52
# Electronic total energy (eV per atom): -10.858
# Crystal system: hexagonal
# E_form (uncorrected) (kJ/mol of atoms): -165.8

=====

# ScNbOs2 | Alexandria | PBE | relaxed
data_ScNbOs2
_chemical_formula_sum 'Sc4 Nb4 Os8'
_space_group_name_H-M_alt 'I -4 2 d'
_space_group_IT_number 122
_space_group_name_Hall 'I -4 2bw'
_cell_length_a 7.183
_cell_length_b 7.183
_cell_length_c 5.553
_cell_angle_alpha 90.00
_cell_angle_beta 90.00
_cell_angle_gamma 90.00
loop_
_atom_site_label
_atom_site_type_symbol
_atom_site_fract_x
_atom_site_fract_y
_atom_site_fract_z
Sc1 Sc 0.000 0.000 0.000
Nb1 Nb 0.000 0.000 0.500
Os1 Os 0.232 0.750 0.625
# Energy of formation from the pure elements (kJ/mol of atoms): 35.2
# D(E_F) (states/eV per atom): 0.59
# Electronic total energy (eV per atom): -9.350
# Crystal system: tetragonal

=====

# K2Al2Cu | Alexandria | PBE | relaxed
data_K2Al2Cu
_chemical_formula_sum 'K4 Al4 Cu2'
_space_group_name_H-M_alt 'P 4/m b m'
_space_group_IT_number 127
_space_group_name_Hall '-P 4 2ab'
_cell_length_a 6.643
_cell_length_b 6.643
_cell_length_c 6.048
_cell_angle_alpha 90.00
_cell_angle_beta 90.00
_cell_angle_gamma 90.00
loop_
_atom_site_label
_atom_site_type_symbol
_atom_site_fract_x
_atom_site_fract_y
_atom_site_fract_z
K1 K 0.184 0.316 0.000
Al1 Al 0.146 0.646 0.500
Cu1 Cu 0.000 0.000 0.500
# Energy of formation from the pure elements (kJ/mol of atoms): 26.9
# D(E_F) (states/eV per atom): 0.45
# Electronic total energy (eV per atom): -2.477
# Crystal system: tetragonal

=====

# Er2PtCl2 | Alexandria | PBE | relaxed
data_Er2PtCl2
_chemical_formula_sum 'Er4 Pt2 Cl4'
_space_group_name_H-M_alt 'C 1 2/m 1'
_space_group_IT_number 12
_space_group_name_Hall '-C 2y'
_cell_length_a 6.719
_cell_length_b 3.881
_cell_length_c 11.145
_cell_angle_alpha 90.00
_cell_angle_beta 102.73
_cell_angle_gamma 90.00
loop_
_atom_site_label
_atom_site_type_symbol
_atom_site_fract_x
_atom_site_fract_y
_atom_site_fract_z
Er1 Er 0.223 0.000 0.155
Pt1 Pt 0.000 0.500 0.000
Cl1 Cl 0.052 0.000 0.686
# D(E_F) (states/eV per atom): 0.32
# Electronic total energy (eV per atom): -5.471
# Crystal system: monoclinic
# E_form (uncorrected) (kJ/mol of atoms): -163.9

=====

# TbDy2Au6 | Alexandria | PBE | relaxed
data_TbDy2Au6
_chemical_formula_sum 'Tb2 Dy4 Au12'
_space_group_name_H-M_alt 'C 1 2/m 1'
_space_group_IT_number 12
_space_group_name_Hall '-C 2y'
_cell_length_a 5.261
_cell_length_b 16.179
_cell_length_c 5.239
_cell_angle_alpha 90.00
_cell_angle_beta 119.46
_cell_angle_gamma 90.00
loop_
_atom_site_label
_atom_site_type_symbol
_atom_site_fract_x
_atom_site_fract_y
_atom_site_fract_z
Tb1 Tb 0.000 0.000 0.000
Dy1 Dy 0.000 0.335 0.500
Au1 Au 0.157 0.500 0.328
Au2 Au 0.163 0.166 0.832
# Energy of formation from the pure elements (kJ/mol of atoms): -76.7
# D(E_F) (states/eV per atom): 0.53
# Electronic total energy (eV per atom): -4.517
# Crystal system: monoclinic

=====

# Th2PdPtAu | Alexandria | PBE | relaxed
data_Th2PdPtAu
_chemical_formula_sum 'Th4 Pd2 Pt2 Au2'
_space_group_name_H-M_alt 'P 1 21/m 1'
_space_group_IT_number 11
_space_group_name_Hall '-P 2yb'
_cell_length_a 7.260
_cell_length_b 4.558
_cell_length_c 7.365
_cell_angle_alpha 90.00
_cell_angle_beta 106.67
_cell_angle_gamma 90.00
loop_
_atom_site_label
_atom_site_type_symbol
_atom_site_fract_x
_atom_site_fract_y
_atom_site_fract_z
Th1 Th 0.044 0.250 0.191
Th2 Th 0.360 0.750 0.653
Pd1 Pd 0.338 0.250 0.968
Pt1 Pt 0.077 0.250 0.608
Au1 Au 0.339 0.750 0.215
# Energy of formation from the pure elements (kJ/mol of atoms): -82.0
# D(E_F) (states/eV per atom): 0.88
# Electronic total energy (eV per atom): -6.720
# Crystal system: monoclinic

=====

# TbPr4HoTm2 | Alexandria | PBE | relaxed
data_TbPr4HoTm2
_chemical_formula_sum 'Tb1 Pr4 Ho1 Tm2'
_space_group_name_H-M_alt 'P m m m'
_space_group_IT_number 47
_space_group_name_Hall '-P 2 2'
_cell_length_a 5.151
_cell_length_b 5.176
_cell_length_c 10.007
_cell_angle_alpha 90.00
_cell_angle_beta 90.00
_cell_angle_gamma 90.00
loop_
_atom_site_label
_atom_site_type_symbol
_atom_site_fract_x
_atom_site_fract_y
_atom_site_fract_z
Tb1 Tb 0.000 0.000 0.000
Pr1 Pr 0.000 0.500 0.250
Pr2 Pr 0.500 0.000 0.251
Ho1 Ho 0.500 0.500 0.500
Tm1 Tm 0.000 0.000 0.500
Tm2 Tm 0.500 0.500 0.000
# Energy of formation from the pure elements (kJ/mol of atoms): 1.5
# D(E_F) (states/eV per atom): 1.28
# Electronic total energy (eV per atom): -4.643
# Crystal system: orthorhombic